(1)
# LiGaSn2Br6, optimized geometry, DFT PBE
# - V (Å³/cell) = 335.48
# - raw formation energy (eV/f.u.) = -8.53
data_LiGaSn2Br6
_cell_length_a 7.531
_cell_length_b 7.535
_cell_length_c 8.090
_cell_angle_alpha 90.03
_cell_angle_beta 117.73
_cell_angle_gamma 119.96
_symmetry_space_group_name_H-M 'P 1'
_symmetry_Int_Tables_number 1
_symmetry_space_group_name_Hall 'P 1'
loop_
_atom_site_label
_atom_site_type_symbol
_atom_site_fract_x
_atom_site_fract_y
_atom_site_fract_z
_atom_site_occupancy
Li1 Li 0.000 0.000 0.000 1
Ga1 Ga 0.986 0.493 0.479 1
Sn1 Sn 0.362 0.681 0.043 1
Sn2 Sn 0.372 0.186 0.558 1
Br1 Br 0.168 0.269 0.796 1
Br2 Br 0.192 0.384 0.278 1
Br3 Br 0.470 0.086 0.278 1
Br4 Br 0.527 0.899 0.796 1
Br5 Br 0.894 0.808 0.279 1
Br6 Br 0.897 0.628 0.797 1


(2)
# CaDy2Tl, optimized geometry, DFT PBE
# - V (Å³/cell) = 522.70
# - energy (eV/atom) = -3.481
data_CaDy2Tl
_cell_length_a 4.748
_cell_length_b 11.764
_cell_length_c 9.358
_cell_angle_alpha 90.00
_cell_angle_beta 90.00
_cell_angle_gamma 90.00
_symmetry_space_group_name_H-M 'C m c m'
_symmetry_Int_Tables_number 63
_symmetry_space_group_name_Hall '-C 2c 2'
loop_
_atom_site_label
_atom_site_type_symbol
_atom_site_fract_x
_atom_site_fract_y
_atom_site_fract_z
_atom_site_occupancy
Ca1 Ca 0.000 0.057 0.250 1
Dy1 Dy 0.000 0.354 0.051 1
Tl1 Tl 0.000 0.239 0.750 1


(3)
# ZrZnRu3, optimized geometry, DFT PBE
# - V (Å³/cell) = 89.56
# - energy (eV/atom) = -6.638
data_ZrZnRu3
_cell_length_a 4.474
_cell_length_b 4.474
_cell_length_c 4.474
_cell_angle_alpha 90.00
_cell_angle_beta 90.00
_cell_angle_gamma 90.00
_symmetry_space_group_name_H-M 'P m -3 m'
_symmetry_Int_Tables_number 221
_symmetry_space_group_name_Hall '-P 4 2 3'
loop_
_atom_site_label
_atom_site_type_symbol
_atom_site_fract_x
_atom_site_fract_y
_atom_site_fract_z
_atom_site_occupancy
Zr1 Zr 0.000 0.000 0.000 1
Zn1 Zn 0.500 0.500 0.500 1
Ru1 Ru 0.000 0.500 0.500 1


(4)
# Th2ZnHgRu, optimized geometry, DFT PBE
# - V (Å³/cell) = 246.65
# - energy (eV/atom) = -5.507
data_Th2ZnHgRu
_cell_length_a 8.125
_cell_length_b 4.013
_cell_length_c 8.140
_cell_angle_alpha 90.00
_cell_angle_beta 111.67
_cell_angle_gamma 90.00
_symmetry_space_group_name_H-M 'P 1 21/m 1'
_symmetry_Int_Tables_number 11
_symmetry_space_group_name_Hall '-P 2yb'
loop_
_atom_site_label
_atom_site_type_symbol
_atom_site_fract_x
_atom_site_fract_y
_atom_site_fract_z
_atom_site_occupancy
Th1 Th 0.112 0.250 0.355 1
Th2 Th 0.283 0.250 0.998 1
Zn1 Zn 0.445 0.750 0.367 1
Hg1 Hg 0.316 0.750 0.692 1
Ru1 Ru 0.124 0.750 0.123 1


(5)
# LiSmTmZn, optimized geometry, DFT PBE
# - V (Å³/cell) = 379.80
# - energy (eV/atom) = -3.206
data_LiSmTmZn
_cell_length_a 7.242
_cell_length_b 7.242
_cell_length_c 7.242
_cell_angle_alpha 90.00
_cell_angle_beta 90.00
_cell_angle_gamma 90.00
_symmetry_space_group_name_H-M 'F -4 3 m'
_symmetry_Int_Tables_number 216
_symmetry_space_group_name_Hall 'F -4 2 3'
loop_
_atom_site_label
_atom_site_type_symbol
_atom_site_fract_x
_atom_site_fract_y
_atom_site_fract_z
_atom_site_occupancy
Li1 Li 0.000 0.000 0.000 1
Sm1 Sm 0.250 0.250 0.250 1
Tm1 Tm 0.250 0.250 0.750 1
Zn1 Zn 0.000 0.000 0.500 1


(6)
# CuPd2Rh, optimized geometry, DFT PBE
# - V (Å³/cell) = 172.91
# - energy (eV/atom) = -5.429
data_CuPd2Rh
_cell_length_a 2.7493
_cell_length_b 2.7493
_cell_length_c 26.4148
_cell_angle_alpha 90.00
_cell_angle_beta 90.00
_cell_angle_gamma 120.00
_symmetry_space_group_name_H-M 'R 3 m'
_symmetry_Int_Tables_number 160
_symmetry_space_group_name_Hall 'R 3 -2"'
loop_
_atom_site_label
_atom_site_type_symbol
_atom_site_fract_x
_atom_site_fract_y
_atom_site_fract_z
_atom_site_occupancy
Cu1 Cu 0.0000 0.0000 0.0000 1
Pd1 Pd 0.0000 0.0000 0.4143 1
Pd2 Pd 0.0000 0.0000 0.5862 1
Rh1 Rh 0.0000 0.0000 0.1672 1


(7)
# Ce2MgSb3Pd4, optimized geometry, DFT PBE
# - V (Å³/cell) = 220.77
# - raw formation energy (eV/f.u.) = -8.09
data_Ce2MgSb3Pd4
_cell_length_a 4.448
_cell_length_b 4.448
_cell_length_c 11.161
_cell_angle_alpha 90.00
_cell_angle_beta 90.00
_cell_angle_gamma 90.00
_symmetry_space_group_name_H-M 'P -4 m 2'
_symmetry_Int_Tables_number 115
_symmetry_space_group_name_Hall 'P -4 -2'
loop_
_atom_site_label
_atom_site_type_symbol
_atom_site_fract_x
_atom_site_fract_y
_atom_site_fract_z
_atom_site_occupancy
Ce1 Ce 0.000 0.500 0.236 1
Mg1 Mg 0.000 0.000 0.500 1
Sb1 Sb 0.000 0.500 0.864 1
Sb2 Sb 0.500 0.500 0.500 1
Pd1 Pd 0.000 0.000 0.000 1
Pd2 Pd 0.000 0.500 0.633 1
Pd3 Pd 0.500 0.500 0.000 1


(8)
# AgGeAsCl2, optimized geometry, DFT PBE
# - V (Å³/cell) = 131.78
# - raw formation energy (eV/f.u.) = 1.36
data_AgGeAsCl2
_cell_length_a 4.826
_cell_length_b 4.826
_cell_length_c 5.659
_cell_angle_alpha 90.00
_cell_angle_beta 90.00
_cell_angle_gamma 90.00
_symmetry_space_group_name_H-M 'P 4/m m m'
_symmetry_Int_Tables_number 123
_symmetry_space_group_name_Hall '-P 4 2'
loop_
_atom_site_label
_atom_site_type_symbol
_atom_site_fract_x
_atom_site_fract_y
_atom_site_fract_z
_atom_site_occupancy
Ag1 Ag 0.000 0.000 0.000 1
Ge1 Ge 0.500 0.500 0.000 1
As1 As 0.500 0.500 0.500 1
Cl1 Cl 0.000 0.500 0.500 1


(9)
# GaFe2Si2, optimized geometry, DFT PBE
# - V (Å³/cell) = 120.41
# - raw formation energy (eV/f.u.) = -0.67
data_GaFe2Si2
_cell_length_a 6.795
_cell_length_b 6.795
_cell_length_c 2.607
_cell_angle_alpha 90.00
_cell_angle_beta 90.00
_cell_angle_gamma 90.00
_symmetry_space_group_name_H-M 'P 4/m b m'
_symmetry_Int_Tables_number 127
_symmetry_space_group_name_Hall '-P 4 2ab'
loop_
_atom_site_label
_atom_site_type_symbol
_atom_site_fract_x
_atom_site_fract_y
_atom_site_fract_z
_atom_site_occupancy
Ga1 Ga 0.000 0.000 0.000 1
Fe1 Fe 0.160 0.340 0.500 1
Si1 Si 0.134 0.634 0.000 1


(10)
# NiAg2Pt, optimized geometry, DFT PBE
# - V (Å³/cell) = 187.35
# - energy (eV/atom) = -4.307
data_NiAg2Pt
_cell_length_a 2.7983
_cell_length_b 2.7983
_cell_length_c 27.6284
_cell_angle_alpha 90.00
_cell_angle_beta 90.00
_cell_angle_gamma 120.00
_symmetry_space_group_name_H-M 'R 3 m'
_symmetry_Int_Tables_number 160
_symmetry_space_group_name_Hall 'R 3 -2"'
loop_
_atom_site_label
_atom_site_type_symbol
_atom_site_fract_x
_atom_site_fract_y
_atom_site_fract_z
_atom_site_occupancy
Ni1 Ni 0.0000 0.0000 0.0000 1
Ag1 Ag 0.0000 0.0000 0.2536 1
Ag2 Ag 0.0000 0.0000 0.4961 1
Pt1 Pt 0.0000 0.0000 0.7410 1


(11)
# Tb4InHg5, optimized geometry, DFT PBE
# - V (Å³/cell) = 256.99
# - energy (eV/atom) = -2.688
data_Tb4InHg5
_cell_length_a 3.765
_cell_length_b 3.765
_cell_length_c 18.130
_cell_angle_alpha 90.00
_cell_angle_beta 90.00
_cell_angle_gamma 90.00
_symmetry_space_group_name_H-M 'P 4/m m m'
_symmetry_Int_Tables_number 123
_symmetry_space_group_name_Hall '-P 4 2'
loop_
_atom_site_label
_atom_site_type_symbol
_atom_site_fract_x
_atom_site_fract_y
_atom_site_fract_z
_atom_site_occupancy
Tb1 Tb 0.000 0.000 0.102 1
Tb2 Tb 0.000 0.000 0.306 1
In1 In 0.000 0.000 0.500 1
Hg1 Hg 0.500 0.500 0.000 1
Hg2 Hg 0.500 0.500 0.200 1
Hg3 Hg 0.500 0.500 0.402 1


(12)
# Ce2Ho7Er2, optimized geometry, DFT PBE
# - V (Å³/cell) = 697.23
# - energy (eV/atom) = -4.612
data_Ce2Ho7Er2
_cell_length_a 11.224
_cell_length_b 11.318
_cell_length_c 5.982
_cell_angle_alpha 90.00
_cell_angle_beta 113.43
_cell_angle_gamma 90.00
_symmetry_space_group_name_H-M 'C 1 2/m 1'
_symmetry_Int_Tables_number 12
_symmetry_space_group_name_Hall '-C 2y'
loop_
_atom_site_label
_atom_site_type_symbol
_atom_site_fract_x
_atom_site_fract_y
_atom_site_fract_z
_atom_site_occupancy
Ce1 Ce 0.228 0.000 0.089 1
Ho1 Ho 0.000 0.000 0.500 1
Ho2 Ho 0.086 0.500 0.303 1
Ho3 Ho 0.174 0.240 0.679 1
Er1 Er 0.000 0.214 0.000 1


(13)
# TaHg2Au, optimized geometry, DFT PBE
# - V (Å³/cell) = 160.76
# - energy (eV/atom) = -3.585
data_TaHg2Au
_cell_length_a 2.916
_cell_length_b 5.345
_cell_length_c 10.315
_cell_angle_alpha 90.00
_cell_angle_beta 90.00
_cell_angle_gamma 90.00
_symmetry_space_group_name_H-M 'I m m m'
_symmetry_Int_Tables_number 71
_symmetry_space_group_name_Hall '-I 2 2'
loop_
_atom_site_label
_atom_site_type_symbol
_atom_site_fract_x
_atom_site_fract_y
_atom_site_fract_z
_atom_site_occupancy
Ta1 Ta 0.000 0.000 0.000 1
Hg1 Hg 0.000 0.500 0.252 1
Au1 Au 0.000 0.000 0.500 1